This record from Alexandria describes an optimized crystal structure of Sm2Y2SiIr4. The functional is PBE-GGA.

As for the total energy: -7.48 eV per atom. Its spin magnetization is 0.00 μB per formula unit. As for the density of states at the Fermi level: 4.244 states/eV/f.u.

The structure belongs to space group I4/mmm (No. 139); the cell edges are 6.444, 6.444 and 9.089 Å and the angles 90.00°, 90.00° and 90.00°. The asymmetric unit holds Sm at (0.000, 0.000, 0.191), Y at (0.000, 0.500, 0.250), Si at (0.000, 0.000, 0.500) and Ir at (0.247, 0.247, 0.000).

This record from Alexandria describes an optimized crystal structure of SmYSiIr. The functional is PBE-GGA.

As for the total energy: -7.19 eV per atom. Its spin magnetization is 0.00 μB per formula unit. As for the density of states at the Fermi level: 2.546 states/eV/f.u.

The structure belongs to space group Amm2 (No. 38); the cell edges are 4.045, 4.238 and 10.600 Å and the angles 90.00°, 90.00° and 90.00°. The asymmetric unit holds Sm at (0.000, 0.000, 0.000), Y at (0.500, 0.000, 0.283), Si at (0.500, 0.000, 0.581) and Ir at (0.000, 0.000, 0.718).

This record from Alexandria describes an optimized crystal structure of Sm2ZnSi4Ir3. The functional is PBE-GGA.

As for the total energy: -6.77 eV per atom. Its spin magnetization is 0.00 μB per formula unit. As for the density of states at the Fermi level: 5.428 states/eV/f.u.

The structure belongs to space group P-4m2 (No. 115); the cell edges are 4.169, 4.169 and 10.039 Å and the angles 90.00°, 90.00° and 90.00°. The asymmetric unit holds Sm at (0.000, 0.500, 0.243), Zn at (0.000, 0.000, 0.500), Si at (0.000, 0.000, 0.000), Si at (0.000, 0.500, 0.639), Si at (0.500, 0.500, 0.000), Ir at (0.000, 0.500, 0.877) and Ir at (0.500, 0.500, 0.500).